Entry 1:
4
Lattice="5.1548 0.0000 0.0000 0.0000 5.1548 0.0000 0.0000 0.0000 4.4536" Properties=species:S:1:pos:R:3 comment="LiPr2Bi | the Alexandria database | PBE | optimized geometry" delta_e_f_ev_per_atom=-0.445 e_above_lowest_polymorph_ev_per_fu=0.02 rho_g_cm3=6.984 total_magnetization_mub_per_atom=0.00 spacegroup="P4/mmm (123)" dos_at_fermi_per_ev_cell=3.337 pbc="T T T"
Li 0.0000 0.0000 0.0000
Pr 0.0000 2.5774 2.2268
Pr 2.5774 0.0000 2.2268
Bi 2.5774 2.5774 0.0000

Entry 2:
8
Lattice="-3.7516 3.7516 2.9111 3.7516 -3.7516 2.9111 3.7516 3.7516 -2.9111" Properties=species:S:1:pos:R:3 comment="Mg2SiAg | the Alexandria database | PBE | optimized geometry" rho_g_cm3=3.740 total_magnetization_mub_per_atom=0.00 spacegroup="I-42d (122)" dos_at_fermi_per_ev_cell=4.284 formation_energy_uncorrected_kj_per_mol_atoms=23 pbc="T T T"
Mg 5.6274 1.8018 -0.7278
Mg 1.8018 1.8758 0.7278
Mg -1.8758 1.9498 2.1833
Mg 1.9498 1.8758 3.6388
Si 0.0000 0.0000 0.0000
Si 0.0000 3.7516 1.4555
Ag 3.7516 0.0000 1.4555
Ag 0.0000 0.0000 2.9111

Which formula does entry 1 have? LiPr2Bi

What is the formula in the first record? LiPr2Bi